No. 1
NbTcRh3 | Alexandria via LeMat-Bulk | PBE-GGA | optimized geometry; space group = Pm-3m, No. 221; excess energy over the best structure of this formula in the dataset = 1.573 eV/atom; calculated volume = 102.83 Å³/f.u.; ΔH_f (0 K) = 1.31 eV/atom; DFT total energy = -7.19 eV/atom; size of the total moment = 0.887 μB/atom
1.0
4.685 0.000 0.000
0.000 4.685 0.000
0.000 0.000 4.685
Nb Tc Rh
1 1 3
Direct
0.000 0.000 0.000 Nb
0.500 0.500 0.500 Tc
0.000 0.000 0.500 Rh
0.000 0.500 0.000 Rh
0.500 0.000 0.000 Rh

=====

No. 2
Nb2TcRh | Alexandria via LeMat-Bulk | PBE-GGA | optimized geometry; space group = I-42d, No. 122; calculated volume = 69.78 Å³/f.u.; ΔH_f (0 K) = 0.31 eV/atom; DFT total energy = -9.16 eV/atom; size of the total moment = 0.000 μB/atom
1.0
7.085 0.000 0.000
0.000 7.085 0.000
0.000 0.000 5.560
Nb Tc Rh
8 4 4
Direct
0.249 0.250 0.125 Nb
0.250 0.749 0.375 Nb
0.250 0.751 0.875 Nb
0.251 0.250 0.625 Nb
0.749 0.750 0.625 Nb
0.750 0.249 0.875 Nb
0.750 0.251 0.375 Nb
0.751 0.750 0.125 Nb
0.000 0.000 0.000 Tc
0.000 0.500 0.250 Tc
0.500 0.000 0.750 Tc
0.500 0.500 0.500 Tc
0.000 0.000 0.500 Rh
0.000 0.500 0.750 Rh
0.500 0.000 0.250 Rh
0.500 0.500 0.000 Rh

=====

No. 3
NbTc2Rh2 | Alexandria via LeMat-Bulk | PBE-GGA | optimized geometry; space group = P4/mbm, No. 127; excess energy over the best structure of this formula in the dataset = 0.003 eV/atom; calculated volume = 77.78 Å³/f.u.; ΔH_f (0 K) = 0.00 eV/atom; DFT total energy = -9.10 eV/atom; size of the total moment = 0.000 μB/atom
1.0
7.569 0.000 0.000
0.000 7.569 0.000
0.000 0.000 2.715
Nb Tc Rh
2 4 4
Direct
0.000 0.000 0.000 Nb
0.500 0.500 0.000 Nb
0.174 0.326 0.500 Tc
0.326 0.826 0.500 Tc
0.674 0.174 0.500 Tc
0.826 0.674 0.500 Tc
0.122 0.622 0.000 Rh
0.378 0.122 0.000 Rh
0.622 0.878 0.000 Rh
0.878 0.378 0.000 Rh